CeIn3Pt2 | PBE | optimized geometry

Cell and atoms, written as POSCAR:
```
CeIn3Pt2
1.0
4.160 0.000 0.000
-2.080 8.821 -2.805
0.000 0.115 11.256
Ce In Pt
3 9 6
Cartesian
0.000 2.918 6.997
2.080 6.019 1.454
0.000 0.000 0.000
0.000 0.649 3.564
2.080 8.288 4.887
0.000 3.827 3.262
2.080 5.109 5.189
2.080 2.281 1.587
0.000 6.655 6.864
2.080 0.057 5.628
0.000 5.753 -1.459
2.080 3.183 9.910
0.000 3.843 0.496
2.080 5.093 7.955
0.000 8.375 -0.726
2.080 0.561 9.177
0.000 6.449 3.909
2.080 2.488 4.542
```

DOS at the Fermi energy = 24.8 states/eV per cell
Crystal system = monoclinic
Energy of formation from the pure elements = -0.592 eV per atom
Raw total energy = -4.96 eV/atom